# 1
First-principles (PBE) data for a relaxed K4Np3MnTe8 crystal, as listed in Alexandria.

Computed properties:
As for the crystal system: monoclinic. The value obtained for the final energy is -5.64 eV per atom. The energy relative to the elements, uncorrected comes out at -76.5 kJ per mole of atoms. The density of states at the Fermi level comes out at 1.798 states/eV/atom.

Cell: 15.589 9.014 9.671 Å, 90.00 122.44 90.00°
Space group C2/m (No. 12)
Unique sites:
1 K 0.000 0.000 0.000
2 K 0.000 0.500 0.000
3 K 0.250 0.250 0.000
4 Np 0.000 0.000 0.500
5 Np 0.250 0.250 0.500
6 Mn 0.000 0.500 0.500
7 Te 0.013 0.259 0.299
8 Te 0.228 0.500 0.701
9 Te 0.237 0.000 0.711

---

# 2
First-principles (PBE) data for a relaxed Ba2BiSb2 crystal, as listed in Alexandria.

Computed properties:
As for the crystal system: tetragonal. The value obtained for the final energy is -3.75 eV per atom. The energy relative to the elements, uncorrected comes out at -53.4 kJ per mole of atoms. The density of states at the Fermi level comes out at 1.469 states/eV/atom.

Cell: 6.841 6.841 9.132 Å, 90.00 90.00 90.00°
Space group I4/mmm (No. 139)
Unique sites:
1 Ba 0.000 0.500 0.250
2 Bi 0.000 0.000 0.000
3 Sb 0.000 0.000 0.339

---

# 3
First-principles (PBE) data for a relaxed Y2ZrAuN crystal, as listed in Alexandria.

Computed properties:
As for the crystal system: tetragonal. The value obtained for the final energy is -7.56 eV per atom. The energy relative to the elements, uncorrected comes out at -90.8 kJ per mole of atoms. The density of states at the Fermi level comes out at 1.023 states/eV/atom.

Cell: 4.781 4.781 4.449 Å, 90.00 90.00 90.00°
Space group P4/mmm (No. 123)
Unique sites:
1 Y 0.000 0.500 0.000
2 Zr 0.000 0.000 0.500
3 Au 0.500 0.500 0.500
4 N 0.000 0.000 0.000

---

# 4
First-principles (PBE) data for a relaxed MnAs3Br crystal, as listed in Alexandria.

Computed properties:
As for the crystal system: cubic. The value obtained for the final energy is -3.14 eV per atom. The energy relative to the elements, uncorrected comes out at 175.3 kJ per mole of atoms. The density of states at the Fermi level comes out at 1.109 states/eV/atom.

Cell: 4.991 4.991 4.991 Å, 90.00 90.00 90.00°
Space group Pm-3m (No. 221)
Unique sites:
1 Mn 0.000 0.000 0.000
2 As 0.000 0.500 0.500
3 Br 0.500 0.500 0.500

---

# 5
First-principles (PBE) data for a relaxed KSrW2 crystal, as listed in Alexandria.

Computed properties:
Its formation energy is 0.829 eV per atom. As for the crystal system: monoclinic. The value obtained for the final energy is -6.34 eV per atom. The density of states at the Fermi level comes out at 0.874 states/eV/atom.

Cell: 3.426 3.427 10.387 Å, 90.00 90.42 90.00°
Space group Pm (No. 6)
Unique sites:
1 K 0.000 0.000 0.000
2 Sr 0.486 0.500 0.396
3 W 0.493 0.500 0.724
4 W 0.991 0.000 0.627

---

# 6
First-principles (PBE) data for a relaxed DyCd5Hg8 crystal, as listed in Alexandria.

Computed properties:
Its formation energy is -0.051 eV per atom. As for the crystal system: tetragonal. The value obtained for the final energy is -0.88 eV per atom. The density of states at the Fermi level comes out at 0.343 states/eV/atom.

Cell: 8.897 8.897 8.850 Å, 90.00 90.00 90.00°
Space group I-4 (No. 82)
Unique sites:
1 Dy 0.000 0.000 0.000
2 Cd 0.000 0.500 0.750
3 Cd 0.134 0.272 0.362
4 Hg 0.066 0.166 0.687
5 Hg 0.094 0.336 0.034